No. 1
Density functional theory data (PBE) for a geometry-optimized Zr2CoOs structure.

Results
- ΔE_f: 176 meV per atom
- Energy relative to the lowest polymorph listed for this composition: 596.1 meV per atom
- Crystal system: tetragonal

a = 7.0427 Å, b = 7.0427 Å, c = 5.7792 Å
α = 90.00°, β = 90.00°, γ = 90.00°
Last column: nearest neighbours and their distance in Å.
Space group I-42d (No. 122)
Unique sites:
Zr1 0.2348 0.2500 0.1250 [8 per cell]  2 Co 2.52, 2 Os 2.67
Co1 0.0000 0.0000 0.0000 [4 per cell]  4 Zr 2.52
Os1 0.0000 0.0000 0.5000 [4 per cell]  4 Zr 2.67, 2 Co 2.89



No. 2
Density functional theory data (PBE) for a geometry-optimized ZrCo2Os structure.

Results
- ΔE_f: -14 meV per atom
- Energy relative to the lowest polymorph listed for this composition: 56.0 meV per atom
- Crystal system: monoclinic

a = 2.7271 Å, b = 3.7048 Å, c = 5.5586 Å
α = 90.00°, β = 90.18°, γ = 90.00°
Last column: nearest neighbours and their distance in Å.
Space group P2/m (No. 10)
Unique sites:
Zr1 0.0000 0.0000 0.0000 [1 per cell]  2 Zr 2.73, 2 Os 2.78, 8 Co 2.79
Co1 0.5004 0.5000 0.2832 [2 per cell]  1 Co 2.41, 4 Os 2.59-2.60
Os1 0.0000 0.0000 0.5000 [1 per cell]  8 Co 2.59-2.60, 2 Os 2.73, 2 Zr 2.78



No. 3
Density functional theory data (PBE) for a geometry-optimized Zr2CoOs structure.

Results
- ΔE_f: -26 meV per atom
- Energy relative to the lowest polymorph listed for this composition: 394.2 meV per atom
- Crystal system: cubic

a = 6.4408 Å, b = 6.4408 Å, c = 6.4408 Å
α = 90.00°, β = 90.00°, γ = 90.00°
Last column: nearest neighbours and their distance in Å.
Space group F-43m (No. 216)
Unique sites:
Zr1 0.0000 0.0000 0.0000 [4 per cell]  4 Zr 2.79, 4 Co 2.79
Zr2 0.2500 0.2500 0.2500 [4 per cell]  4 Zr 2.79, 4 Os 2.79
Co1 0.2500 0.2500 0.7500 [4 per cell]  4 Zr 2.79, 4 Os 2.79
Os1 0.0000 0.0000 0.5000 [4 per cell]  4 Zr 2.79, 4 Co 2.79



No. 4
Density functional theory data (PBE) for a geometry-optimized Zr2CoOs3 structure.

Results
- ΔE_f: -371 meV per atom
- Crystal system: trigonal

a = 5.1873 Å, b = 5.1873 Å, c = 12.5480 Å
α = 90.00°, β = 90.00°, γ = 120.00°
Last column: nearest neighbours and their distance in Å.
Space group R-3m (No. 166, hexagonal axes)
Unique sites:
Zr1 0.0000 0.0000 0.1246 [6 per cell]  9 Os 3.02-3.03, 3 Co 3.04, 4 Zr 3.13-3.18
Co1 0.0000 0.0000 0.5000 [3 per cell]  6 Os 2.57
Os1 0.0000 0.5000 0.0000 [9 per cell]  2 Co 2.57, 4 Os 2.59



No. 5
Density functional theory data (PBE) for a geometry-optimized ZrCo2Os structure.

Results
- ΔE_f: 42 meV per atom
- Energy relative to the lowest polymorph listed for this composition: 112.6 meV per atom
- Crystal system: tetragonal

a = 3.8017 Å, b = 3.8017 Å, c = 7.9941 Å
α = 90.00°, β = 90.00°, γ = 90.00°
Last column: nearest neighbours and their distance in Å.
Space group I-4m2 (No. 119)
Unique sites:
Zr1 0.0000 0.0000 0.0000 [2 per cell]  8 Co 2.69-2.76, 4 Os 2.76
Co1 0.0000 0.0000 0.5000 [2 per cell]  4 Zr 2.69, 4 Co 2.76, 4 Os 2.76
Co2 0.0000 0.5000 0.7500 [2 per cell]  4 Os 2.69, 4 Zr 2.76, 4 Co 2.76
Os1 0.0000 0.5000 0.2500 [2 per cell]  8 Co 2.69-2.76, 4 Zr 2.76



No. 6
Density functional theory data (PBE) for a geometry-optimized ZrCoOs structure.

Results
- ΔE_f: -130 meV per atom
- Energy relative to the lowest polymorph listed for this composition: 238.4 meV per atom
- Crystal system: monoclinic

a = 10.6603 Å, b = 3.9176 Å, c = 4.7034 Å
α = 90.00°, β = 101.27°, γ = 90.00°
Last column: nearest neighbours and their distance in Å.
Space group C2/m (No. 12)
Unique sites:
Zr1 0.1218 0.0000 0.3295 [4 per cell]  2 Co 2.53-2.56, 2 Os 2.82
Co1 0.2152 0.0000 0.8672 [4 per cell]  2 Co 2.36, 3 Os 2.48-2.49, 2 Zr 2.53-2.56
Os1 0.0703 0.5000 0.8067 [4 per cell]  3 Co 2.48-2.49, 1 Os 2.57



No. 7
Density functional theory data (PBE) for a geometry-optimized ZrCo2Os structure.

Results
- ΔE_f: -42 meV per atom
- Energy relative to the lowest polymorph listed for this composition: 28.2 meV per atom
- Crystal system: tetragonal

a = 3.8819 Å, b = 3.8819 Å, c = 7.4214 Å
α = 90.00°, β = 90.00°, γ = 90.00°
Last column: nearest neighbours and their distance in Å.
Space group I4/mmm (No. 139)
Unique sites:
Zr1 0.0000 0.0000 0.0000 [2 per cell]  8 Co 2.69, 4 Os 2.74
Co1 0.0000 0.5000 0.2500 [4 per cell]  4 Zr 2.69, 4 Os 2.69, 4 Co 2.74
Os1 0.0000 0.0000 0.5000 [2 per cell]  8 Co 2.69, 4 Zr 2.74



No. 8
Density functional theory data (PBE) for a geometry-optimized ZrCoOs structure.

Results
- ΔE_f: 802 meV per atom
- Energy relative to the lowest polymorph listed for this composition: 1170.6 meV per atom
- Crystal system: cubic

a = 6.0662 Å, b = 6.0662 Å, c = 6.0662 Å
α = 90.00°, β = 90.00°, γ = 90.00°
Last column: nearest neighbours and their distance in Å.
Space group F-43m (No. 216)
Unique sites:
Zr1 0.0000 0.0000 0.0000 [4 per cell]  4 Co 2.63, 4 Os 2.63
Co1 0.2500 0.2500 0.2500 [4 per cell]  4 Zr 2.63
Os1 0.2500 0.2500 0.7500 [4 per cell]  4 Zr 2.63



No. 9
Density functional theory data (PBE) for a geometry-optimized ZrCo2Os structure.

Results
- ΔE_f: 91 meV per atom
- Energy relative to the lowest polymorph listed for this composition: 161.2 meV per atom
- Crystal system: tetragonal

a = 2.7537 Å, b = 2.7537 Å, c = 7.3967 Å
α = 90.00°, β = 90.00°, γ = 90.00°
Last column: nearest neighbours and their distance in Å.
Space group P4/mmm (No. 123)
Unique sites:
Zr1 0.0000 0.0000 0.0000 [1 per cell]  4 Zr 2.75, 8 Co 2.83
Co1 0.5000 0.5000 0.2775 [2 per cell]  4 Os 2.55, 4 Co 2.75, 4 Zr 2.83
Os1 0.0000 0.0000 0.5000 [1 per cell]  8 Co 2.55, 4 Os 2.75



No. 10
Density functional theory data (PBE) for a geometry-optimized ZrCo2Os structure.

Results
- ΔE_f: -25 meV per atom
- Energy relative to the lowest polymorph listed for this composition: 45.3 meV per atom
- Crystal system: orthorhombic

a = 4.0847 Å, b = 2.7974 Å, c = 9.8035 Å
α = 90.00°, β = 90.00°, γ = 90.00°
Last column: nearest neighbours and their distance in Å.
Space group Amm2 (No. 38)
Unique sites:
Zr1 0.0000 0.0000 0.0000 [2 per cell]  7 Co 2.56-2.73, 2 Zr 2.80
Co1 0.0000 0.0000 0.7388 [2 per cell]  2 Co 2.46, 3 Zr 2.56-2.73, 4 Os 2.58
Co2 0.5000 0.0000 0.5994 [2 per cell]  2 Co 2.46, 2 Os 2.51, 4 Zr 2.66
Os1 0.5000 0.0000 0.3125 [2 per cell]  7 Co 2.51-2.81, 2 Os 2.80



No. 11
Density functional theory data (PBE) for a geometry-optimized ZrCoOs structure.

Results
- ΔE_f: -111 meV per atom
- Energy relative to the lowest polymorph listed for this composition: 257.7 meV per atom
- Crystal system: monoclinic

a = 8.8462 Å, b = 4.0405 Å, c = 5.4538 Å
α = 90.00°, β = 107.67°, γ = 90.00°
Last column: nearest neighbours and their distance in Å.
Space group Cm (No. 8)
Unique sites:
Zr1 0.0000 0.0000 0.0000 [2 per cell]  4 Co 2.66-2.79, 5 Os 2.74-2.95
Zr2 0.2273 0.5000 0.3372 [2 per cell]  3 Co 2.64-2.65, 4 Os 2.70-2.83
Co1 0.0402 0.0000 0.5279 [2 per cell]  5 Os 2.57-2.80, 3 Zr 2.64-2.79
Co2 0.3618 0.0000 0.1656 [2 per cell]  4 Zr 2.65-2.66, 4 Os 2.72-2.97, 2 Co 2.93
Os1 0.1737 0.5000 0.7984 [2 per cell]  2 Co 2.57, 3 Os 2.62-2.85, 3 Zr 2.70-2.83
Os2 0.3631 0.0000 0.6676 [2 per cell]  3 Os 2.62-2.85, 5 Co 2.72-2.80, 4 Zr 2.73-2.74



No. 12
Density functional theory data (PBE) for a geometry-optimized ZrCoOs structure.

Results
- ΔE_f: -368 meV per atom
- Energy relative to the lowest polymorph listed for this composition: 0.0 meV per atom
- Crystal system: orthorhombic

a = 5.0260 Å, b = 5.0892 Å, c = 7.2391 Å
α = 90.00°, β = 90.00°, γ = 90.00°
Last column: nearest neighbours and their distance in Å.
Space group Imma (No. 74)
Unique sites:
Zr1 0.0000 0.2500 0.1251 [4 per cell]  6 Os 2.96-3.00, 6 Co 2.98-2.99, 4 Zr 3.10-3.12
Co1 0.2500 0.2500 0.7500 [4 per cell]  2 Co 2.51, 4 Os 2.54
Os1 0.0000 0.0000 0.5000 [4 per cell]  4 Co 2.54, 2 Os 2.54



Number 1: N(E_F) 12.35 states/eV per cell. Number 2: N(E_F) 4.21 states/eV per cell. Number 3: N(E_F) 14.36 states/eV per cell. Number 4: N(E_F) 17.79 states/eV per cell. Number 5: N(E_F) 12.89 states/eV per cell. Number 6: N(E_F) 14.69 states/eV per cell. Number 7: N(E_F) 9.38 states/eV per cell. Number 8: N(E_F) 20.39 states/eV per cell. Number 9: N(E_F) 3.78 states/eV per cell. Number 10: N(E_F) 10.34 states/eV per cell. Number 11: N(E_F) 12.61 states/eV per cell. Number 12: N(E_F) 12.97 states/eV per cell.